## NaMg3Au5 (PBE)

Data for an optimized crystal structure of NaMg3Au5.

abc: 8.2382 8.2382 5.7318
angles: 90.00 90.00 120.00
With the nearest neighbours (Å) after each atom.
Space group P6_3/mcm (No. 193)
Unique sites:
Na1 0.0000 0.0000 0.0000 (multiplicity 2)  2 Na 2.87, 6 Au 3.00
Mg1 0.0000 0.3525 0.2500 (multiplicity 6)  5 Au 2.70-2.88
Au1 0.0000 0.3197 0.7500 (multiplicity 6)  5 Mg 2.70-2.88, 2 Na 3.00
Au2 0.3333 0.6667 0.0000 (multiplicity 4)  8 Au 2.87-3.15, 6 Mg 3.03

Results
- ΔH_f (0 K): -0.418 eV per atom